[1]
## KYTl2 (PBE)

Data for crystalline KYTl2 at its relaxed geometry.

The calculation puts the energy above the most stable polymorph in this dataset at 129.0 meV/atom. As for the density of states at the Fermi level: 11.40 states/eV per cell. The calculation puts the formation energy at -0.081 eV/atom. The mass density comes out at 6.74 g cm⁻³.

The space group is R-3m (No. 166, hexagonal axes) and the conventional cell measures 3.7542, 3.7542 and 32.5169 Å, with angles of 90.00, 90.00 and 120.00 degrees. The asymmetric unit holds K at (0.0000, 0.0000, 0.0000), Y at (0.0000, 0.0000, 0.5000) and Tl at (0.0000, 0.0000, 0.2432).


[2]
## PuTh2Pd (PBE)

Data for crystalline PuTh2Pd at its relaxed geometry.

The calculation puts the energy above the most stable polymorph in this dataset at 129.0 meV/atom. As for the density of states at the Fermi level: 26.40 states/eV per cell. The calculation puts the formation energy at -0.132 eV/atom. The mass density comes out at 12.14 g cm⁻³.

The space group is R3m (No. 160, hexagonal axes) and the conventional cell measures 3.6754, 3.6754 and 28.5806 Å, with angles of 90.00, 90.00 and 120.00 degrees. The asymmetric unit holds Pu at (0.0000, 0.0000, 0.0000), Th at (0.0000, 0.0000, 0.5749), Th at (0.0000, 0.0000, 0.7618) and Pd at (0.0000, 0.0000, 0.1700).


[3]
## SbAsHBr2 (PBE)

Data for crystalline SbAsHBr2 at its relaxed geometry.

The calculation puts the energy above the most stable polymorph in this dataset at 0.0 meV/atom. As for the density of states at the Fermi level: 3.38 states/eV per cell. The mass density comes out at 5.64 g cm⁻³.

The space group is P4/mmm (No. 123) and the conventional cell measures 5.448, 5.448 and 3.545 Å, with angles of 90.00, 90.00 and 90.00 degrees. The asymmetric unit holds Sb at (0.000, 0.000, 0.000), As at (0.500, 0.500, 0.000), H at (0.500, 0.500, 0.500) and Br at (0.000, 0.500, 0.500).


[4]
## Pm4EuHo (PBE)

Data for crystalline Pm4EuHo at its relaxed geometry.

As for the density of states at the Fermi level: 35.02 states/eV per cell. The calculation puts the formation energy at 0.236 eV/atom. The mass density comes out at 6.78 g cm⁻³.

The space group is F-43m (No. 216) and the conventional cell measures 9.580, 9.580 and 9.580 Å, with angles of 90.00, 90.00 and 90.00 degrees. The asymmetric unit holds Pm at (0.123, 0.123, 0.123), Eu at (0.000, 0.000, 0.500) and Ho at (0.250, 0.250, 0.750).


[5]
## CdTeW2 (PBE)

Data for crystalline CdTeW2 at its relaxed geometry.

For the uncorrected formation energy, the calculation gives 1025 meV/atom. The calculation puts the energy above the most stable polymorph in this dataset at 592.9 meV/atom. As for the density of states at the Fermi level: 4.31 states/eV per cell. The mass density comes out at 13.91 g cm⁻³.

The space group is P4/mmm (No. 123) and the conventional cell measures 4.696, 4.696 and 3.290 Å, with angles of 90.00, 90.00 and 90.00 degrees. The asymmetric unit holds Cd at (0.000, 0.000, 0.000), Te at (0.500, 0.500, 0.000) and W at (0.000, 0.500, 0.500).


[6]
## Hf2B2Pt (PBE)

Data for crystalline Hf2B2Pt at its relaxed geometry.

The calculation puts the energy above the most stable polymorph in this dataset at 0.0 meV/atom. As for the density of states at the Fermi level: 4.06 states/eV per cell. The calculation puts the formation energy at -0.878 eV/atom. The mass density comes out at 14.46 g cm⁻³.

The space group is P4/mbm (No. 127) and the conventional cell measures 5.926, 5.926 and 3.751 Å, with angles of 90.00, 90.00 and 90.00 degrees. The asymmetric unit holds Hf at (0.176, 0.324, 0.000), B at (0.113, 0.613, 0.500) and Pt at (0.000, 0.000, 0.500).


[7]
## ThMgC (PBE)

Data for crystalline ThMgC at its relaxed geometry.

The calculation puts the energy above the most stable polymorph in this dataset at 179.9 meV/atom. As for the density of states at the Fermi level: 1.61 states/eV per cell. The calculation puts the formation energy at -0.036 eV/atom. The mass density comes out at 7.16 g cm⁻³.

The space group is P4/mmm (No. 123) and the conventional cell measures 3.709, 3.709 and 4.522 Å, with angles of 90.00, 90.00 and 90.00 degrees. The asymmetric unit holds Th at (0.000, 0.000, 0.000), Mg at (0.500, 0.500, 0.500) and C at (0.500, 0.500, 0.000).


[8]
## Ag2BSbS4 (PBE)

Data for crystalline Ag2BSbS4 at its relaxed geometry.

For the uncorrected formation energy, the calculation gives -193 meV/atom. The mass density comes out at 4.72 g cm⁻³.

The space group is Pmn2_1 (No. 31) and the conventional cell measures 8.487, 6.502 and 6.071 Å, with angles of 90.00, 90.00 and 90.00 degrees. The asymmetric unit holds Ag at (0.250, 0.187, 0.000), B at (0.000, 0.341, 0.489), Sb at (0.000, 0.704, 0.964), S at (0.000, 0.343, 0.817), S at (0.000, 0.623, 0.381) and S at (0.187, 0.198, 0.406).


[9]
## BaTl2Sb2Pb (PBE)

Data for crystalline BaTl2Sb2Pb at its relaxed geometry.

For the uncorrected formation energy, the calculation gives -336 meV/atom. As for the density of states at the Fermi level: 2.43 states/eV per cell. The mass density comes out at 7.64 g cm⁻³.

The space group is Pmc2_1 (No. 26) and the conventional cell measures 5.042, 10.345 and 8.311 Å, with angles of 90.00, 90.00 and 90.00 degrees. The asymmetric unit holds Ba at (0.000, 0.105, 0.000), Tl at (0.000, 0.315, 0.354), Tl at (0.500, 0.438, 0.057), Sb at (0.000, 0.378, 0.725), Sb at (0.500, 0.094, 0.302) and Pb at (0.500, 0.199, 0.653).


[10]
## LiCaLa4 (PBE)

Data for crystalline LiCaLa4 at its relaxed geometry.

As for the density of states at the Fermi level: 41.85 states/eV per cell. The calculation puts the formation energy at 0.302 eV/atom. The mass density comes out at 4.32 g cm⁻³.

The space group is F-43m (No. 216) and the conventional cell measures 9.751, 9.751 and 9.751 Å, with angles of 90.00, 90.00 and 90.00 degrees. The asymmetric unit holds Li at (0.000, 0.000, 0.000), Ca at (0.250, 0.250, 0.750) and La at (0.124, 0.124, 0.376).


[11]
## CaMn2Ag (PBE)

Data for crystalline CaMn2Ag at its relaxed geometry.

As for the density of states at the Fermi level: 13.61 states/eV per cell. The calculation puts the formation energy at 0.240 eV/atom. The mass density comes out at 4.99 g cm⁻³.

The space group is R3m (No. 160, hexagonal axes) and the conventional cell measures 4.3395, 4.3395 and 15.7722 Å, with angles of 90.00, 90.00 and 120.00 degrees. The asymmetric unit holds Ca at (0.0000, 0.0000, 0.0000), Mn at (0.0000, 0.0000, 0.4762), Mn at (0.0000, 0.0000, 0.8011) and Ag at (0.0000, 0.0000, 0.2066).


[12]
## Pm8YHo6 (PBE)

Data for crystalline Pm8YHo6 at its relaxed geometry.

The calculation puts the energy above the most stable polymorph in this dataset at 49.0 meV/atom. As for the density of states at the Fermi level: 22.70 states/eV per cell. The calculation puts the formation energy at 0.176 eV/atom. The mass density comes out at 7.40 g cm⁻³.

The space group is P-3 (No. 147) and the conventional cell measures 9.4138, 9.4138 and 6.5460 Å, with angles of 90.00, 90.00 and 120.00 degrees. The asymmetric unit holds Pm at (0.0351, 0.7477, 0.3355), Pm at (0.3333, 0.6667, 0.3801), Y at (0.0000, 0.0000, 0.0000) and Ho at (0.0932, 0.6564, 0.8425).


no.,volume (Å³ per cell),E (eV/atom)
1,396.90,-3.1543
2,334.35,-8.7227
3,105.23,-2.6404
4,879.23,-5.4061
5,72.56,-6.4653
6,131.72,-8.7380
7,62.19,-6.1151
8,335.04,-4.3195
9,433.45,-3.4378
10,927.29,-3.6359
11,257.23,-5.5578
12,502.38,-4.6196